No. 1
# HfPtF3

A relaxed HfPtF3 crystal (PBE, the Alexandria database).

Results
formation energy (no corrections): -1.8733 eV per atom
excess energy over the best structure of this formula in the dataset: 0 meV per atom
V: 73.05 Å³/cell

a = 4.180 Å, b = 4.180 Å, c = 4.180 Å
α = 90.00°, β = 90.00°, γ = 90.00°
Fractional coordinates of all 5 atoms:
Hf (0.000, 0.000, 0.000)
Pt (0.500, 0.500, 0.500)
F (0.000, 0.000, 0.500)
F (0.000, 0.500, 0.000)
F (0.500, 0.000, 0.000)

No. 2
# CaGe2Sb2

A relaxed CaGe2Sb2 crystal (PBE, the Alexandria database).

Results
formation energy (no corrections): -0.1273 eV per atom
V: 249.97 Å³/cell

a = 7.874 Å, b = 7.874 Å, c = 4.032 Å
α = 90.00°, β = 90.00°, γ = 90.00°
Fractional coordinates of all 10 atoms:
Ca (0.000, 0.000, 0.000)
Ca (0.500, 0.500, 0.000)
Ge (0.122, 0.378, 0.000)
Ge (0.378, 0.878, 0.000)
Ge (0.622, 0.122, 0.000)
Ge (0.878, 0.622, 0.000)
Sb (0.177, 0.677, 0.500)
Sb (0.323, 0.177, 0.500)
Sb (0.677, 0.823, 0.500)
Sb (0.823, 0.323, 0.500)

No. 3
# CaTlZn

A relaxed CaTlZn crystal (PBE, the Alexandria database).

Results
ΔE_f: -0.286 eV per atom
V: 75.06 Å³/cell

a = 4.804 Å, b = 4.804 Å, c = 3.755 Å
α = 90.00°, β = 90.00°, γ = 120.00°
Fractional coordinates of all 3 atoms:
Ca (0.000, 0.000, 0.000)
Tl (0.333, 0.667, 0.500)
Zn (0.667, 0.333, 0.500)

No. 4
# NaHgPt

A relaxed NaHgPt crystal (PBE, the Alexandria database).

Results
excess energy over the best structure of this formula in the dataset: 47 meV per atom
ΔE_f: -0.164 eV per atom
V: 138.80 Å³/cell

a = 5.467 Å, b = 4.741 Å, c = 5.668 Å
α = 90.00°, β = 109.11°, γ = 90.00°
Fractional coordinates of all 6 atoms:
Na (0.234, 0.250, 0.472)
Na (0.766, 0.750, 0.528)
Hg (0.344, 0.750, 0.900)
Hg (0.656, 0.250, 0.100)
Pt (0.095, 0.250, 0.941)
Pt (0.905, 0.750, 0.059)

No. 5
# SrAc8Rh6

A relaxed SrAc8Rh6 crystal (PBE, the Alexandria database).

Results
ΔE_f: -0.541 eV per atom
V: 495.56 Å³/cell

a = 11.033 Å, b = 11.033 Å, c = 11.033 Å
α = 39.80°, β = 39.80°, γ = 39.80°
Fractional coordinates of all 15 atoms:
Sr (0.000, 0.000, 0.000)
Ac (0.109, 0.777, 0.442)
Ac (0.223, 0.558, 0.891)
Ac (0.333, 0.333, 0.333)
Ac (0.442, 0.109, 0.777)
Ac (0.558, 0.891, 0.223)
Ac (0.667, 0.667, 0.667)
Ac (0.777, 0.442, 0.109)
Ac (0.891, 0.223, 0.558)
Rh (0.062, 0.403, 0.721)
Rh (0.279, 0.938, 0.597)
Rh (0.403, 0.721, 0.062)
Rh (0.597, 0.279, 0.938)
Rh (0.721, 0.062, 0.403)
Rh (0.938, 0.597, 0.279)

No. 6
# AcNi4SbAs2

A relaxed AcNi4SbAs2 crystal (PBE, the Alexandria database).

Results
formation energy (no corrections): -0.4927 eV per atom
V: 141.75 Å³/cell

a = 4.255 Å, b = 4.255 Å, c = 7.829 Å
α = 90.00°, β = 90.00°, γ = 90.00°
Fractional coordinates of all 8 atoms:
Ac (0.000, 0.000, 0.000)
Ni (0.000, 0.500, 0.318)
Ni (0.000, 0.500, 0.682)
Ni (0.500, 0.000, 0.318)
Ni (0.500, 0.000, 0.682)
Sb (0.000, 0.000, 0.500)
As (0.500, 0.500, 0.183)
As (0.500, 0.500, 0.817)

No. 7
# YSiAs

A relaxed YSiAs crystal (PBE, the Alexandria database).

Results
formation energy (no corrections): -0.4459 eV per atom
V: 60.43 Å³/cell

a = 5.465 Å, b = 5.465 Å, c = 5.465 Å
α = 142.37°, β = 142.37°, γ = 54.27°
Fractional coordinates of all 3 atoms:
Y (0.000, 0.000, 0.000)
Si (0.698, 0.698, 0.000)
As (0.303, 0.303, 0.000)

No. 8
# VAsCBr2

A relaxed VAsCBr2 crystal (PBE, the Alexandria database).

Results
formation energy (no corrections): 1.3495 eV per atom
excess energy over the best structure of this formula in the dataset: 48 meV per atom
V: 120.57 Å³/cell

a = 4.947 Å, b = 4.947 Å, c = 4.926 Å
α = 90.00°, β = 90.00°, γ = 90.00°
Fractional coordinates of all 5 atoms:
V (0.000, 0.000, 0.000)
As (0.000, 0.000, 0.500)
C (0.500, 0.500, 0.500)
Br (0.000, 0.500, 0.000)
Br (0.500, 0.000, 0.000)

No. 9
# AlPCl2F

A relaxed AlPCl2F crystal (PBE, the Alexandria database).

Results
formation energy (no corrections): -0.3369 eV per atom
excess energy over the best structure of this formula in the dataset: 317 meV per atom
V: 102.49 Å³/cell

a = 4.527 Å, b = 4.527 Å, c = 5.002 Å
α = 90.00°, β = 90.00°, γ = 90.00°
Fractional coordinates of all 5 atoms:
Al (0.000, 0.000, 0.000)
P (0.000, 0.000, 0.500)
Cl (0.000, 0.500, 0.000)
Cl (0.500, 0.000, 0.000)
F (0.500, 0.500, 0.500)

No. 10
# Pr2DyY7

A relaxed Pr2DyY7 crystal (PBE, the Alexandria database).

Results
excess energy over the best structure of this formula in the dataset: 139 meV per atom
ΔE_f: 0.158 eV per atom
V: 338.02 Å³/cell

a = 14.932 Å, b = 14.932 Å, c = 3.534 Å
α = 90.00°, β = 90.00°, γ = 154.60°
Fractional coordinates of all 10 atoms:
Pr (0.207, 0.793, 0.000)
Pr (0.793, 0.207, 0.000)
Dy (0.500, 0.500, 0.500)
Y (0.000, 0.000, 0.000)
Y (0.157, 0.352, 0.000)
Y (0.315, 0.685, 0.500)
Y (0.352, 0.157, 0.000)
Y (0.648, 0.843, 0.000)
Y (0.685, 0.315, 0.500)
Y (0.843, 0.648, 0.000)

No. 11
# CaLaSc

A relaxed CaLaSc crystal (PBE, the Alexandria database).

Results
excess energy over the best structure of this formula in the dataset: 64 meV per atom
ΔE_f: 0.176 eV per atom
V: 99.05 Å³/cell

a = 5.780 Å, b = 5.780 Å, c = 3.424 Å
α = 90.00°, β = 90.00°, γ = 120.00°
Fractional coordinates of all 3 atoms:
Ca (0.000, 0.000, 0.000)
La (0.667, 0.333, 0.500)
Sc (0.333, 0.667, 0.000)

No. 12
# KSrY2Ru

A relaxed KSrY2Ru crystal (PBE, the Alexandria database).

Results
ΔE_f: 1.379 eV per atom
V: 182.40 Å³/cell

a = 6.045 Å, b = 6.045 Å, c = 4.991 Å
α = 90.00°, β = 90.00°, γ = 90.00°
Fractional coordinates of all 5 atoms:
K (0.000, 0.000, 0.000)
Sr (0.500, 0.500, 0.500)
Y (0.000, 0.500, 0.500)
Y (0.500, 0.000, 0.500)
Ru (0.500, 0.500, 0.000)